# 1
# ZnOsW2

A geometry-optimized ZnOsW2 structure (GGA-PBE, Alexandria).

Computed properties:
DOS at the Fermi energy: 0.815 states/eV/atom
energy: -37.27 eV per cell

a = 5.2013 Å, b = 5.2013 Å, c = 5.2013 Å
α = 145.43°, β = 129.14°, γ = 62.96°
Fractional coordinates of all 4 atoms:
1 Os 0.2438 0.7438 0.5000
2 W 0.0008 0.0008 0.0000
3 W 0.7593 0.2593 0.5000
4 Zn 0.4962 0.4962 0.0000

# 2
# CoPtRh2

A geometry-optimized CoPtRh2 structure (GGA-PBE, Alexandria).

Computed properties:
DOS at the Fermi energy: 1.409 states/eV/atom
energy: -27.86 eV per cell

a = 3.7895 Å, b = 2.7083 Å, c = 6.0540 Å
α = 63.47°, β = 90.00°, γ = 90.00°
Each line ends with the local moment (μB).
Fractional coordinates of all 4 atoms:
1 Co 0.0000 0.5036 0.4961  1.88
2 Rh 0.0000 0.9923 0.0079  0.12
3 Rh 0.5000 0.2459 0.2544  0.28
4 Pt 0.5000 0.7582 0.7416  0.21

# 3
# CaHfNb2N

A geometry-optimized CaHfNb2N structure (GGA-PBE, Alexandria).

Computed properties:
DOS at the Fermi energy: 1.108 states/eV/atom
formation energy from raw total energies: -0.161 eV/atom
energy: -41.23 eV per cell

a = 4.4034 Å, b = 4.4034 Å, c = 4.6367 Å
α = 90.00°, β = 90.00°, γ = 90.00°
Fractional coordinates of all 5 atoms:
1 Nb 0.0000 0.5000 0.0000
2 Nb 0.5000 0.0000 0.0000
3 Hf 0.0000 0.0000 0.5000
4 Ca 0.5000 0.5000 0.5000
5 N 0.0000 0.0000 0.0000

# 4
# TlCo2As

A geometry-optimized TlCo2As structure (GGA-PBE, Alexandria).

Computed properties:
DOS at the Fermi energy: 0.725 states/eV/atom
energy relative to the lowest polymorph listed for this composition: 55 meV/atom
energy: -20.37 eV per cell

a = 3.9157 Å, b = 3.9157 Å, c = 6.3206 Å
α = 72.07°, β = 72.07°, γ = 59.97°
Each line ends with the local moment (μB).
Fractional coordinates of all 4 atoms:
1 As 0.2999 0.2999 0.1027  -0.01
2 Co 0.0112 0.0112 0.9681  1.34
3 Co 0.7033 0.7033 0.8913  1.60
4 Tl 0.4856 0.4856 0.5380  -0.02

# 5
# CsTl2Hg2

A geometry-optimized CsTl2Hg2 structure (GGA-PBE, Alexandria).

Computed properties:
DOS at the Fermi energy: 0.572 states/eV/atom
energy relative to the lowest polymorph listed for this composition: 18 meV/atom
energy: -6.80 eV per cell

a = 5.0164 Å, b = 5.0164 Å, c = 7.2111 Å
α = 90.00°, β = 90.00°, γ = 90.00°
Fractional coordinates of all 5 atoms:
1 Cs 0.0000 0.0000 0.0000
2 Tl 0.5000 0.0000 0.5000
3 Tl 0.0000 0.5000 0.5000
4 Hg 0.5000 0.5000 0.7875
5 Hg 0.5000 0.5000 0.2125

# 6
# MgScAl

A geometry-optimized MgScAl structure (GGA-PBE, Alexandria).

Computed properties:
DOS at the Fermi energy: 0.864 states/eV/atom
energy: -23.51 eV per cell

a = 3.0344 Å, b = 3.0344 Å, c = 14.0641 Å
α = 96.19°, β = 96.19°, γ = 90.00°
Each line ends with the local moment (μB).
Fractional coordinates of all 6 atoms:
1 Mg 0.2937 0.2937 0.5874  0.00
2 Mg 0.7063 0.7063 0.4126  0.00
3 Al 0.1300 0.1300 0.2599  0.01
4 Al 0.8700 0.8700 0.7401  0.01
5 Sc 0.5578 0.5578 0.1156  0.36
6 Sc 0.4422 0.4422 0.8844  0.36

# 7
# LuTiZnTc

A geometry-optimized LuTiZnTc structure (GGA-PBE, Alexandria).

Computed properties:
DOS at the Fermi energy: 0.996 states/eV/atom
energy: -24.87 eV per cell

a = 4.6244 Å, b = 4.6244 Å, c = 4.6244 Å
α = 60.00°, β = 60.00°, γ = 60.00°
Fractional coordinates of all 4 atoms:
1 Zn 0.5000 0.5000 0.5000
2 Lu 0.2500 0.2500 0.2500
3 Tc 0.0000 0.0000 0.0000
4 Ti 0.7500 0.7500 0.7500

# 8
# AsPC

A geometry-optimized AsPC structure (GGA-PBE, Alexandria).

Computed properties:
DOS at the Fermi energy: 0.183 states/eV/atom
energy relative to the lowest polymorph listed for this composition: 46 meV/atom
energy: -36.01 eV per cell

a = 2.8722 Å, b = 5.0902 Å, c = 6.7983 Å
α = 90.75°, β = 100.16°, γ = 89.99°
Fractional coordinates of all 6 atoms:
1 P 0.8318 0.1763 0.2804
2 P 0.4048 0.6823 0.4560
3 As 0.5597 0.6776 0.8242
4 As 0.5185 0.2101 0.7236
5 C 0.8653 0.8309 0.3613
6 C 0.3935 0.3150 0.4280